[1]
DFT (PBE) results for a relaxed Ac2MgUPt6 crystal.

Calculated values
As for the total energy: -6.506 eV/atom. For the calculated volume, the calculation gives 237.04 Å³ per cell. The calculation puts the formation energy at -772 meV/atom.

Cell and atoms, written as POSCAR:
```
Ac2MgUPt6
1.0
6.265 -2.822 0.000
6.265 2.822 0.000
-5.936 0.000 6.704
Ac Mg U Pt
2 1 1 6
direct
0.235 0.235 0.178
0.765 0.765 0.822
0.500 0.500 0.000
0.000 0.000 0.500
0.249 0.741 0.744
0.254 0.254 0.609
0.259 0.751 0.256
0.741 0.249 0.744
0.746 0.746 0.391
0.751 0.259 0.256
```

[2]
DFT (PBE) results for a relaxed AcMgZn2Pt crystal.

Calculated values
As for the total energy: -3.448 eV/atom. For the calculated volume, the calculation gives 109.72 Å³ per cell. The calculation puts the formation energy at -589 meV/atom.

Cell and atoms, written as POSCAR:
```
AcMgZn2Pt
1.0
-2.119 2.148 6.028
2.119 -2.148 6.028
2.119 2.148 -6.028
Ac Mg Zn Pt
1 1 2 1
direct
0.000 0.000 0.000
0.260 0.760 0.500
0.619 0.619 0.000
0.758 0.258 0.500
0.401 0.401 0.000
```

[3]
DFT (PBE) results for a relaxed AcMgZnPt crystal.

Calculated values
As for the total energy: -3.777 eV/atom. The calculation puts the energy above the most stable polymorph in this dataset at 0.141 eV/atom. For the calculated volume, the calculation gives 93.46 Å³ per cell. The calculation puts the formation energy at -523 meV/atom.

Cell and atoms, written as POSCAR:
```
AcMgZnPt
1.0
0.000 3.602 3.602
3.602 0.000 3.602
3.602 3.602 0.000
Ac Mg Zn Pt
1 1 1 1
direct
0.000 0.000 0.000
0.500 0.500 0.500
0.750 0.750 0.750
0.250 0.250 0.250
```